# 1
A geometry-optimized CsLaFeO3 structure, computed with PBE with a Hubbard U.

Spin magnetization (μB per formula unit): 2.00
Uncorrected energy (eV/cell): -75.3

Unit cell a=8.086 b=3.890 c=9.056 alpha=90.00 beta=108.27 gamma=90.00
Space group P2_1/m (No. 11)
One atom of each set of equivalent atoms:
Cs: 0.194 0.250 0.199 (multiplicity 2)
La: 0.333 0.750 0.856 (multiplicity 2)
Fe: 0.055 0.250 0.621 (multiplicity 2)
O: 0.094 0.750 0.596 (multiplicity 2)
O: 0.144 0.250 0.850 (multiplicity 2)
O: 0.468 0.750 0.125 (multiplicity 2)


# 2
A geometry-optimized Cs2LaFe2O6 structure, computed with PBE with a Hubbard U.

Spin magnetization (μB per formula unit): 7.00
Uncorrected energy (eV/cell): -197.7

Unit cell a=6.3761 b=6.3761 c=18.5513 alpha=90.00 beta=90.00 gamma=120.00
Space group R-3m (No. 166, hexagonal axes)
One atom of each set of equivalent atoms:
Cs: 0.0000 0.0000 0.2203 (multiplicity 6)
La: 0.0000 0.0000 0.0000 (multiplicity 3)
Fe: 0.0000 0.0000 0.4252 (multiplicity 6)
O: 0.0142 0.5071 0.2545 (multiplicity 18)


The lowest uncorrected energy belongs to which entry?
Cs2LaFe2O6


Which value of uncorrected energy does entry 2 give?
-197.7 eV/cell


What did the second record say?
A geometry-optimized Cs2LaFe2O6 structure, computed with PBE with a Hubbard U.

Spin magnetization (μB per formula unit): 7.00
Uncorrected energy (eV/cell): -197.7

Unit cell a=6.3761 b=6.3761 c=18.5513 alpha=90.00 beta=90.00 gamma=120.00
Space group R-3m (No. 166, hexagonal axes)
One atom of each set of equivalent atoms:
Cs: 0.0000 0.0000 0.2203 (multiplicity 6)
La: 0.0000 0.0000 0.0000 (multiplicity 3)
Fe: 0.0000 0.0000 0.4252 (multiplicity 6)
O: 0.0142 0.5071 0.2545 (multiplicity 18)


Which of these has the highest spin magnetization?
Cs2LaFe2O6